Compound: TlReSi2
Source: Alexandria via LeMat-Bulk
Functional: PBE
Structure: relaxed

Cell lengths 3.185, 4.883, 8.750 Å; angles 90.00, 90.00, 90.00 degrees
Atoms (fractional coordinates):
Tl (0.000, 0.000, 0.000)
Tl (0.500, 0.500, 0.500)
Re (0.000, 0.500, 0.214)
Re (0.500, 0.000, 0.714)
Si (0.000, 0.000, 0.499)
Si (0.000, 0.500, 0.776)
Si (0.500, 0.000, 0.276)
Si (0.500, 0.500, 0.999)

Properties
M_tot, μB/f.u.: 0.00
DOS(E_F), states/eV/atom: 0.62
Formation energy without anion corrections, kJ/mol of atoms: 71.46
Polymorph energy (0 for the lowest one), eV/atom: 0.571

=====

Compound: Co2SiTcCl
Source: Alexandria via LeMat-Bulk
Functional: PBE
Structure: relaxed

Cell lengths 4.311, 4.311, 4.661 Å; angles 90.00, 90.00, 90.00 degrees
Atoms (fractional coordinates):
Co (0.000, 0.500, 0.000)
Co (0.500, 0.000, 0.000)
Si (0.000, 0.000, 0.000)
Tc (0.000, 0.000, 0.500)
Cl (0.500, 0.500, 0.500)

Properties
M_tot, μB/f.u.: 4.93
DOS(E_F), states/eV/atom: 1.44
Formation energy without anion corrections, kJ/mol of atoms: 91.02

=====

Compound: Ac2Pm2Sm
Source: Alexandria via LeMat-Bulk
Functional: PBE
Structure: relaxed

Cell lengths 9.644, 9.644, 6.592 Å; angles 107.02, 107.02, 41.52 degrees
Atoms (fractional coordinates):
Ac (0.048, 0.336, 0.194)
Ac (0.336, 0.048, 0.694)
Ac (0.664, 0.952, 0.306)
Ac (0.952, 0.664, 0.806)
Pm (0.293, 0.529, 0.342)
Pm (0.471, 0.707, 0.158)
Pm (0.529, 0.293, 0.842)
Pm (0.707, 0.471, 0.658)
Sm (0.077, 0.923, 0.750)
Sm (0.923, 0.077, 0.250)

Properties
M_tot, μB/f.u.: 0.00
DOS(E_F), states/eV/atom: 1.43
Polymorph energy (0 for the lowest one), eV/atom: 0.000

=====

Compound: HoTh2Ni6
Source: Alexandria via LeMat-Bulk
Functional: PBE
Structure: relaxed

Cell lengths 7.068, 7.068, 3.733 Å; angles 90.00, 90.00, 120.00 degrees
Atoms (fractional coordinates):
Ho (0.000, 0.000, 0.000)
Th (0.333, 0.667, 0.000)
Th (0.667, 0.333, 0.000)
Ni (0.000, 0.332, 0.500)
Ni (0.000, 0.668, 0.500)
Ni (0.332, 0.000, 0.500)
Ni (0.332, 0.332, 0.500)
Ni (0.668, 0.000, 0.500)
Ni (0.668, 0.668, 0.500)

Properties
M_tot, μB/f.u.: 0.00
DOS(E_F), states/eV/atom: 1.43
Polymorph energy (0 for the lowest one), eV/atom: 0.000

=====

Compound: LiCa2Mn
Source: Alexandria via LeMat-Bulk
Functional: PBE
Structure: relaxed

Cell lengths 3.792, 3.792, 7.792 Å; angles 90.00, 90.00, 90.00 degrees
Atoms (fractional coordinates):
Li (0.000, 0.000, 0.000)
Ca (0.500, 0.500, 0.271)
Ca (0.500, 0.500, 0.729)
Mn (0.000, 0.000, 0.500)

Properties
Total DFT energy (no corrections), eV per atom: -3.51
M_tot, μB/f.u.: 3.96
DOS(E_F), states/eV/atom: 0.81

=====

Compound: Ce2AlI
Source: Alexandria via LeMat-Bulk
Functional: PBE
Structure: relaxed

Cell lengths 4.453, 4.453, 21.701 Å; angles 90.00, 90.00, 120.00 degrees
Atoms (fractional coordinates):
Ce (0.000, 0.000, 0.242)
Ce (0.000, 0.000, 0.758)
Ce (0.333, 0.667, 0.424)
Ce (0.333, 0.667, 0.909)
Ce (0.667, 0.333, 0.091)
Ce (0.667, 0.333, 0.576)
Al (0.000, 0.000, 0.500)
Al (0.333, 0.667, 0.167)
Al (0.667, 0.333, 0.833)
I (0.000, 0.000, 0.000)
I (0.333, 0.667, 0.667)
I (0.667, 0.333, 0.333)

Properties
M_tot, μB/f.u.: 1.79
DOS(E_F), states/eV/atom: 3.28
Formation energy without anion corrections, kJ/mol of atoms: -38.42
Polymorph energy (0 for the lowest one), eV/atom: 0.074

=====

The highest M_tot belongs to which entry? Co2SiTcCl

=====

What is the formula in the second record? Co2SiTcCl

=====

What is the DOS(E_F) in the first record? 0.62 states/eV/atom